A plane-wave DFT calculation with PBE was carried out for a relaxed PrPuZnCu crystal.

The structure in extended XYZ format:
```
16
Lattice="7.213 0.000 0.000 0.000 7.213 0.000 0.000 0.000 7.213" Properties=species:S:1:pos:R:3 pbc="T T T"
Pr 0.000 0.000 0.000
Pr 0.000 3.607 3.607
Pr 3.607 0.000 3.607
Pr 3.607 3.607 0.000
Pu 0.000 0.000 3.607
Pu 0.000 3.607 0.000
Pu 3.607 0.000 0.000
Pu 3.607 3.607 3.607
Zn 1.803 1.803 1.803
Zn 1.803 5.410 5.410
Zn 5.410 1.803 5.410
Zn 5.410 5.410 1.803
Cu 1.803 1.803 5.410
Cu 1.803 5.410 1.803
Cu 5.410 1.803 1.803
Cu 5.410 5.410 5.410
```

Properties
Total magnetic moment = 6.24 μB per formula unit
Calculated formation energy = -0.026 eV/atom

A plane-wave DFT calculation with PBE was carried out for a relaxed RbPr2Cu crystal.

The structure in extended XYZ format:
```
12
Lattice="3.912 0.000 0.000 -1.956 3.388 0.000 0.000 0.000 35.541" Properties=species:S:1:pos:R:3 pbc="T T T"
Rb 0.000 0.000 0.000
Rb 0.000 2.259 23.694
Rb 1.956 1.129 11.847
Pr 0.000 0.000 4.065
Pr 0.000 0.000 31.476
Pr 0.000 2.259 19.629
Pr 0.000 2.259 27.759
Pr 1.956 1.129 7.782
Pr 1.956 1.129 15.912
Cu 0.000 0.000 17.770
Cu 0.000 2.259 5.923
Cu 1.956 1.129 29.617
```

Properties
Total magnetic moment = 0.00 μB per formula unit
Calculated formation energy = 0.258 eV/atom

A plane-wave DFT calculation with PBE was carried out for a relaxed RbPr2CuS4 crystal.

The structure in extended XYZ format:
```
16
Lattice="2.062 -7.129 0.000 2.062 7.129 0.000 0.000 0.000 14.157" Properties=species:S:1:pos:R:3 pbc="T T T"
Rb 2.062 5.627 10.618
Rb 2.062 -5.627 3.539
Pr 2.062 1.919 7.947
Pr 2.062 1.919 13.289
Pr 2.062 -1.919 0.868
Pr 2.062 -1.919 6.211
Cu 2.062 4.779 3.539
Cu 2.062 -4.779 10.618
S 0.000 0.000 0.000
S 0.000 0.000 7.079
S 2.062 3.422 1.608
S 2.062 3.422 5.471
S 2.062 1.086 10.618
S 2.062 -1.086 3.539
S 2.062 -3.422 8.687
S 2.062 -3.422 12.549
```

Properties
Total magnetic moment = 0.00 μB per formula unit
Uncorrected formation energy = -1.62 eV/atom

A plane-wave DFT calculation with PBE was carried out for a relaxed RbPrCuS2 crystal.

The structure in extended XYZ format:
```
10
Lattice="7.782 0.000 0.000 0.000 4.727 0.000 -1.547 0.000 8.106" Properties=species:S:1:pos:R:3 pbc="T T T"
Rb -0.387 0.865 2.026
Rb -1.160 3.862 6.079
Pr 2.730 2.321 6.079
Pr 3.504 2.406 2.026
Cu 3.891 0.000 0.000
Cu 3.117 0.000 4.053
S 0.658 1.407 7.810
S 1.432 3.321 3.757
S 4.803 1.407 4.349
S 5.576 3.321 0.296
```

Properties
Total magnetic moment = 0.00 μB per formula unit
Uncorrected formation energy = -1.08 eV/atom

A plane-wave DFT calculation with PBE was carried out for a relaxed Rb2PrCu2Se4 crystal.

The structure in extended XYZ format:
```
9
Lattice="7.772 -2.080 0.000 7.772 2.080 0.000 -2.709 0.000 7.817" Properties=species:S:1:pos:R:3 pbc="T T T"
Rb 1.908 0.000 0.437
Rb 10.926 0.000 7.380
Pr -1.355 0.000 3.909
Cu 3.591 0.000 4.016
Cu 9.244 0.000 3.801
Se 1.385 0.000 5.200
Se 5.383 0.000 5.748
Se 7.452 0.000 2.069
Se 11.449 0.000 2.617
```

Properties
Total magnetic moment = 0.00 μB per formula unit
Uncorrected formation energy = -1.04 eV/atom

A plane-wave DFT calculation with PBE was carried out for a relaxed RbPr2CuTe4 crystal.

The structure in extended XYZ format:
```
16
Lattice="2.261 -7.873 0.000 2.261 7.873 0.000 0.000 0.000 15.777" Properties=species:S:1:pos:R:3 pbc="T T T"
Rb 2.261 6.169 11.833
Rb 2.261 -6.169 3.944
Pr 2.261 2.134 8.883
Pr 2.261 2.134 14.782
Pr 2.261 -2.134 0.995
Pr 2.261 -2.134 6.894
Cu 2.261 5.365 3.944
Cu 2.261 -5.365 11.833
Te 0.000 0.000 0.000
Te 0.000 0.000 7.888
Te 2.261 3.699 1.841
Te 2.261 3.699 6.048
Te 2.261 1.077 11.833
Te 2.261 -1.077 3.944
Te 2.261 -3.699 9.729
Te 2.261 -3.699 13.936
```

Properties
Total magnetic moment = 0.00 μB per formula unit
Uncorrected formation energy = -1.17 eV/atom